Entry 1:
A plane-wave DFT calculation with PBE was carried out for an optimized crystal structure of La8Y3Th2.

Results
Raw total energy (eV per cell): -70.808
DOS(E_F) (states/eV/atom): 1.510
Space group: C2/m
Size of the total moment (μB/cell): 0.000

a = 5.866 Å, b = 7.550 Å, c = 11.216 Å
α = 109.67°, β = 90.05°, γ = 90.00°
Fractional positions:
Y 0.500 0.000 0.000
Y 0.000 0.727 0.000
Y 0.000 0.273 0.000
La 0.999 0.137 0.273
La 0.500 0.191 0.788
La 0.001 0.675 0.351
La 0.001 0.863 0.727
La 0.500 0.597 0.788
La 0.999 0.325 0.649
La 0.500 0.809 0.212
La 0.500 0.403 0.212
Th 0.502 0.757 0.513
Th 0.498 0.243 0.487

Entry 2:
A plane-wave DFT calculation with PBE was carried out for an optimized crystal structure of LaY4Th3.

Results
Raw total energy (eV per cell): -52.611
DOS(E_F) (states/eV/atom): 1.697
Space group: C2/m
Size of the total moment (μB/cell): 0.000

a = 6.235 Å, b = 6.234 Å, c = 7.999 Å
α = 105.05°, β = 105.08°, γ = 109.43°
Fractional positions:
Y 0.375 0.375 0.751
Y 0.246 0.746 0.493
Y 0.754 0.254 0.507
Y 0.625 0.625 0.249
Th 0.000 0.500 0.000
Th 0.123 0.122 0.245
Th 0.877 0.878 0.755
La 0.500 0.000 0.000

Entry 3:
A plane-wave DFT calculation with PBE was carried out for an optimized crystal structure of LaYTh3.

Results
Raw total energy (eV per cell): -63.887
DOS(E_F) (states/eV/atom): 1.928
Space group: Imma
Size of the total moment (μB/cell): 0.000

a = 6.021 Å, b = 11.967 Å, c = 8.361 Å
α = 135.70°, β = 111.11°, γ = 90.00°
Fractional positions:
Th 0.000 0.000 0.500
Th 0.332 0.332 0.164
Th 0.000 0.500 0.500
Th 0.332 0.832 0.164
Th 0.668 0.168 0.836
Th 0.668 0.668 0.836
Y 0.701 0.750 0.500
Y 0.299 0.250 0.500
La 0.500 0.000 0.000
La 0.000 0.500 0.000

Entry 4:
A plane-wave DFT calculation with PBE was carried out for an optimized crystal structure of LaY8Th4.

Results
Raw total energy (eV per cell): -83.590
DOS(E_F) (states/eV/atom): 1.421
Space group: R-3m
Size of the total moment (μB/cell): 0.000

a = 7.392 Å, b = 7.392 Å, c = 9.943 Å
α = 90.00°, β = 111.82°, γ = 120.00°
Fractional positions:
Y 0.502 0.251 0.308
Y 0.943 0.749 0.692
Y 0.557 0.778 0.335
Y 0.057 0.251 0.308
Y 0.443 0.222 0.665
Y 0.057 0.806 0.308
Y 0.498 0.749 0.692
Y 0.943 0.194 0.692
La 0.000 0.500 0.500
Th 0.500 0.500 0.000
Th 0.500 0.000 0.000
Th 0.000 0.000 0.000
Th 0.000 0.500 0.000

Entry 5:
A plane-wave DFT calculation with PBE was carried out for an optimized crystal structure of La10Y4Th.

Results
Raw total energy (eV per cell): -76.822
DOS(E_F) (states/eV/atom): 1.837
Space group: I4/m
Size of the total moment (μB/cell): 0.000

a = 10.942 Å, b = 9.015 Å, c = 9.015 Å
α = 68.39°, β = 52.63°, γ = 52.63°
Fractional positions:
La 0.936 0.122 0.349
La 0.064 0.878 0.651
La 0.407 0.878 0.651
La 0.057 0.349 0.878
La 0.285 0.651 0.122
La 0.943 0.651 0.122
La 0.715 0.349 0.878
La 0.593 0.122 0.349
La 0.250 0.500 0.500
La 0.750 0.500 0.500
Y 0.773 0.787 0.667
Y 0.560 0.667 0.213
Y 0.227 0.213 0.333
Y 0.440 0.333 0.787
Th 0.000 0.000 0.000

Entry 6:
A plane-wave DFT calculation with PBE was carried out for an optimized crystal structure of La8Y5Th.

Results
Raw total energy (eV per cell): -76.526
DOS(E_F) (states/eV/atom): 1.370
Space group: C2
Size of the total moment (μB/cell): 0.000

a = 7.906 Å, b = 9.547 Å, c = 7.906 Å
α = 108.08°, β = 103.91°, γ = 108.58°
Fractional positions:
Y 0.964 0.233 0.005
Y 0.731 0.759 0.177
Y 0.418 0.241 0.972
Y 0.548 0.000 0.548
Y 0.772 0.767 0.731
Th 0.278 0.500 0.778
La 0.535 0.938 0.960
La 0.171 0.792 0.087
La 0.021 0.062 0.597
La 0.295 0.208 0.379
La 0.086 0.694 0.484
La 0.395 0.561 0.308
La 0.789 0.306 0.392
La 0.747 0.439 0.835

Entry 7:
A plane-wave DFT calculation with PBE was carried out for an optimized crystal structure of La2Y9Th.

Results
Raw total energy (eV per cell): -75.045
DOS(E_F) (states/eV/atom): 1.736
Space group: P4/mmm
Size of the total moment (μB/cell): 0.001

a = 5.096 Å, b = 5.096 Å, c = 15.329 Å
α = 90.00°, β = 90.00°, γ = 90.00°
Fractional positions:
La 0.000 0.000 0.667
La 0.000 0.000 0.333
Y 0.500 0.000 0.500
Y 0.500 0.000 0.839
Y 0.000 0.500 0.839
Y 0.500 0.500 0.332
Y 0.500 0.000 0.161
Y 0.500 0.500 0.668
Y 0.000 0.500 0.161
Y 0.000 0.500 0.500
Y 0.500 0.500 0.000
Th 0.000 0.000 0.000

Entry 8:
A plane-wave DFT calculation with PBE was carried out for an optimized crystal structure of La3Y8Th3.

Results
Raw total energy (eV per cell): -86.339
DOS(E_F) (states/eV/atom): 1.677
Space group: Immm
Size of the total moment (μB/cell): 0.000

a = 5.689 Å, b = 9.608 Å, c = 9.608 Å
α = 88.51°, β = 72.78°, γ = 72.78°
Fractional positions:
Y 0.638 0.104 0.619
Y 0.362 0.896 0.381
Y 0.638 0.619 0.104
Y 0.134 0.484 0.247
Y 0.362 0.381 0.896
Y 0.866 0.753 0.516
Y 0.866 0.516 0.753
Y 0.134 0.247 0.484
Th 0.000 0.149 0.851
Th 0.500 0.000 0.000
Th 0.000 0.851 0.149
La 0.217 0.783 0.783
La 0.500 0.500 0.500
La 0.783 0.217 0.217

Entry 9:
A plane-wave DFT calculation with PBE was carried out for an optimized crystal structure of La6Y12Th.

Results
Raw total energy (eV per cell): -110.446
DOS(E_F) (states/eV/atom): 1.891
Space group: R-3m
Size of the total moment (μB/cell): 0.004

a = 8.879 Å, b = 8.879 Å, c = 8.879 Å
α = 99.71°, β = 99.71°, γ = 99.71°
Fractional positions:
Y 0.754 0.500 0.246
Y 0.246 0.754 0.500
Y 0.077 0.347 0.347
Y 0.347 0.077 0.347
Y 0.923 0.653 0.653
Y 0.653 0.653 0.923
Y 0.246 0.500 0.754
Y 0.500 0.246 0.754
Y 0.754 0.246 0.500
Y 0.347 0.347 0.077
Y 0.500 0.754 0.246
Y 0.653 0.923 0.653
Th 0.000 0.000 0.000
La 0.659 0.099 0.099
La 0.099 0.099 0.659
La 0.099 0.659 0.099
La 0.341 0.901 0.901
La 0.901 0.341 0.901
La 0.901 0.901 0.341

Entry 10:
A plane-wave DFT calculation with PBE was carried out for an optimized crystal structure of LaY8Th2.

Results
Energy above the lowest structure with this stoichiometry (meV per atom): 78.0
Raw total energy (eV per cell): -69.602
DOS(E_F) (states/eV/atom): 1.523
Space group: C2/m
Size of the total moment (μB/cell): 0.000

a = 5.607 Å, b = 10.258 Å, c = 10.258 Å
α = 40.43°, β = 92.16°, γ = 92.16°
Fractional positions:
Th 0.742 0.283 0.283
Th 0.258 0.717 0.717
Y 0.264 0.136 0.596
Y 0.766 0.815 0.815
Y 0.762 0.452 0.452
Y 0.736 0.404 0.864
Y 0.234 0.185 0.185
Y 0.264 0.596 0.136
Y 0.736 0.864 0.404
Y 0.238 0.548 0.548
La 0.000 0.000 0.000